LaTm4Ag: relaxed, PBE-GGA.

Geometry as CIF:
```
data_LaTm4Ag
_cell_length_a 3.577
_cell_length_b 3.577
_cell_length_c 13.614
_cell_angle_alpha 90.00
_cell_angle_beta 90.00
_cell_angle_gamma 90.00
_symmetry_space_group_name_H-M 'P 1'
_symmetry_Int_Tables_number 1
loop_
_symmetry_equiv_pos_as_xyz
'x,y,z'
loop_
_atom_site_label
_atom_site_type_symbol
_atom_site_fract_x
_atom_site_fract_y
_atom_site_fract_z
La1 La 0.000 0.000 0.000
Tm1 Tm 0.000 0.000 0.366
Tm2 Tm 0.000 0.000 0.634
Tm3 Tm 0.500 0.500 0.187
Tm4 Tm 0.500 0.500 0.813
Ag1 Ag 0.500 0.500 0.500
```

Summary:
ΔH_f (0 K) = -0.4 eV/f.u.
SG = No. 123
M_tot = 0.1 Bohr magnetons per cell